{
  "formula": "LiLa5Si4N10O",
  "functional": "GGA-PBEsol",
  "state": "relaxed",
  "vol_a3_per_atom": 13.43,
  "space_group": "P1, No. 1",
  "raw_formation_energy_mev_per_atom": -1629.7,
  "mass_density_g_cm3": 5.71,
  "dft_energy_ev_per_atom": -8.401,
  "cell": [[-4.295, -3.758, 0.228], [3.701, -3.627, -3.913], [3.994, -0.408, 7.244]],
  "species": ["Li", "La", "La", "La", "La", "La", "Si", "Si", "Si", "Si", "N", "N", "N", "N", "N", "N", "N", "N", "N", "N", "O"],
  "frac_coords": [[0.456, 0.997, 0.473], [0.912, 0.143, 0.336], [0.088, 0.840, 0.666], [0.288, 0.727, 0.127], [0.709, 0.282, 0.873], [0.495, 0.488, 0.490], [0.377, 0.207, 0.097], [0.625, 0.792, 0.908], [0.172, 0.356, 0.744], [0.833, 0.645, 0.262], [0.487, 0.997, 0.987], [0.643, 0.400, 0.200], [0.385, 0.586, 0.788], [0.166, 0.302, 0.942], [0.835, 0.711, 0.066], [0.873, 0.383, 0.635], [0.142, 0.652, 0.375], [0.284, 0.163, 0.619], [0.704, 0.822, 0.389], [0.287, 0.128, 0.256], [0.740, 0.877, 0.768]]
}